Material: CaMg2Rh
Method: DFT, PBE
State: optimized geometry

space-group type: No. 12
M_tot: 0.000 μB/atom
energy of formation from the pure elements: -0.3027 eV per atom

Structure (extended XYZ):
```
4
Lattice="5.878 -1.637 0.000 5.878 1.637 0.000 -2.123 0.000 4.546" Properties=species:S:1:pos:R:3 pbc="T T T"
Ca 0.000 0.000 0.000
Mg 0.865 0.000 3.175
Mg 8.768 0.000 1.371
Rh 4.817 0.000 2.273
```